No. 1
Here is crystalline YZn2Fe at its relaxed geometry from Alexandria. Energies are from PBE.

The structure in POSCAR format:
```
YZn2Fe
1.0
-3.418 2.219 -1.222
-3.896 -1.610 0.568
-2.651 2.235 4.074
Fe Zn Y
1 2 1
direct
0.446 0.446 0.662
0.764 0.764 0.707
0.042 0.042 0.873
0.247 0.247 0.259
```

theoretical density = 6.14 g/cm3
symmetry = R3m (160)
E_tot = -17.55 eV per cell

No. 2
Here is crystalline YZn2Fe at its relaxed geometry from Alexandria. Energies are from PBE.

The structure in POSCAR format:
```
YZn2Fe
1.0
-2.084 0.201 2.378
1.542 -2.296 1.545
4.040 4.821 3.134
Fe Y Zn
1 1 2
direct
0.000 0.000 0.452
0.500 0.500 0.727
0.000 0.000 0.052
0.500 0.500 0.269
```

theoretical density = 6.49 g/cm3
symmetry = P4mm (99)
E_tot = -17.34 eV per cell

No. 3
Here is crystalline YZn2Fe at its relaxed geometry from Alexandria. Energies are from PBE.

The structure in POSCAR format:
```
YZn2Fe
1.0
5.286 -1.231 -0.724
4.590 2.897 -0.724
4.590 0.774 2.884
Y Zn Fe
1 2 1
direct
0.750 0.750 0.750
0.960 0.960 0.960
0.540 0.540 0.540
0.250 0.250 0.250
```

theoretical density = 6.14 g/cm3
symmetry = R-3m (166)
E_tot = -17.63 eV per cell

No. 4
Here is crystalline YZn4Fe at its relaxed geometry from Alexandria. Energies are from PBE.

The structure in POSCAR format:
```
YZn4Fe
1.0
0.000 3.634 3.634
3.634 0.000 3.634
3.634 3.634 0.000
Zn Y Fe
4 1 1
direct
0.376 0.871 0.376
0.376 0.376 0.376
0.376 0.376 0.871
0.871 0.376 0.376
0.000 0.000 0.000
0.750 0.750 0.750
```

theoretical density = 7.03 g/cm3
symmetry = F-43m (216)
E_tot = -20.68 eV per cell

Formation energy from the elements across the listed records, respectively: -0.020 0.034 -0.040 -0.110 eV/atom.